Entry 1:
This record from the Alexandria database describes a geometry-optimized SbPtF structure. The functional is PBE.

Cell: 6.0782 5.5092 7.1564 Å, 90.00 114.64 90.00°
Space group P2_1 (No. 4)
Inequivalent atoms, fractional coordinates:
Sb (0.1403, 0.0000, 0.1911) (multiplicity 2)
Sb (0.2999, 0.0109, 0.7409) (multiplicity 2)
Pt (0.1109, 0.4995, 0.2167) (multiplicity 2)
Pt (0.4985, 0.2507, 0.5010) (multiplicity 2)
F (0.0938, 0.4957, 0.6681) (multiplicity 2)
F (0.4994, 0.2456, 0.9986) (multiplicity 2)

Summary:
- electronic total energy (eV/cell) = -60.44
- magnetization (μB/cell) = 0.0
- density of states at the Fermi level (states/eV per cell) = 3.14

Entry 2:
This record from the Alexandria database describes a geometry-optimized AcZn4Cd structure. The functional is PBE.

Cell: 4.5949 16.7222 6.7930 Å, 90.00 90.00 90.00°
Space group Cmcm (No. 63)
Inequivalent atoms, fractional coordinates:
Ac (0.0000, 0.1211, 0.2500) (multiplicity 4)
Zn (0.0000, 0.0678, 0.7500) (multiplicity 4)
Zn (0.0000, 0.3419, 0.0645) (multiplicity 8)
Zn (0.0000, 0.5000, 0.0000) (multiplicity 4)
Cd (0.0000, 0.2303, 0.7500) (multiplicity 4)

Summary:
- energy above the lowest structure with this stoichiometry (eV per atom) = 0.0299
- magnetization (μB/cell) = 0.0
- calculated formation energy (eV/atom) = -0.15
- density of states at the Fermi level (states/eV per cell) = 11.78

Entry 3:
This record from the Alexandria database describes a geometry-optimized CoPbSe2 structure. The functional is PBE.

Cell: 7.2585 7.2585 6.7985 Å, 90.00 90.00 90.00°
Space group I-42d (No. 122)
Inequivalent atoms, fractional coordinates:
Co (0.0000, 0.0000, 0.0000) (multiplicity 4)
Pb (0.0000, 0.0000, 0.5000) (multiplicity 4)
Se (0.1560, 0.2500, 0.1250) (multiplicity 8)

Summary:
- electronic total energy (eV/cell) = -74.43
- magnetization (μB/cell) = 4.2
- density of states at the Fermi level (states/eV per cell) = 6.28

Entry 4:
This record from the Alexandria database describes a geometry-optimized FeCoAg structure. The functional is PBE.

Cell: 2.7213 2.7213 6.4415 Å, 90.00 90.00 120.00°
Space group P3m1 (No. 156)
Inequivalent atoms, fractional coordinates:
Fe (0.0000, 0.0000, 0.0000) (multiplicity 1)
Co (0.3333, 0.6667, 0.7213) (multiplicity 1)
Ag (0.6667, 0.3333, 0.3623) (multiplicity 1)

Summary:
- energy above the lowest structure with this stoichiometry (eV per atom) = 0.0603
- magnetization (μB/cell) = 4.2
- calculated formation energy (eV/atom) = 0.32
- density of states at the Fermi level (states/eV per cell) = 3.41

Entry 5:
This record from the Alexandria database describes a geometry-optimized CaTa2As structure. The functional is PBE.

Cell: 3.7536 4.3220 4.8584 Å, 90.00 90.00 90.00°
Space group Pmmm (No. 47)
Inequivalent atoms, fractional coordinates:
Ca (0.0000, 0.0000, 0.0000) (multiplicity 1)
Ta (0.0000, 0.5000, 0.5000) (multiplicity 1)
Ta (0.5000, 0.0000, 0.5000) (multiplicity 1)
As (0.5000, 0.5000, 0.0000) (multiplicity 1)

Summary:
- magnetization (μB/cell) = 0.0
- calculated formation energy (eV/atom) = 0.27
- density of states at the Fermi level (states/eV per cell) = 3.37

Entry 6:
This record from the Alexandria database describes a geometry-optimized La2YGeN structure. The functional is PBE.

Cell: 5.0330 5.0330 4.7704 Å, 90.00 90.00 90.00°
Space group P4/mmm (No. 123)
Inequivalent atoms, fractional coordinates:
La (0.0000, 0.5000, 0.0000) (multiplicity 2)
Y (0.0000, 0.0000, 0.5000) (multiplicity 1)
Ge (0.5000, 0.5000, 0.5000) (multiplicity 1)
N (0.0000, 0.0000, 0.0000) (multiplicity 1)

Summary:
- electronic total energy (eV/cell) = -33.85
- magnetization (μB/cell) = 0.0
- density of states at the Fermi level (states/eV per cell) = 3.18

Entry 7:
This record from the Alexandria database describes a geometry-optimized Pr3SnHg structure. The functional is PBE.

Cell: 8.1835 16.5065 5.0726 Å, 90.00 90.00 90.00°
Space group Cmmm (No. 65)
Inequivalent atoms, fractional coordinates:
Pr (0.0000, 0.1685, 0.0000) (multiplicity 4)
Pr (0.1766, 0.5000, 0.5000) (multiplicity 4)
Pr (0.2500, 0.2500, 0.5000) (multiplicity 4)
Sn (0.0000, 0.3650, 0.0000) (multiplicity 4)
Hg (0.0000, 0.0852, 0.5000) (multiplicity 4)

Summary:
- magnetization (μB/cell) = 0.0
- calculated formation energy (eV/atom) = -0.19
- density of states at the Fermi level (states/eV per cell) = 12.77

Entry 8:
This record from the Alexandria database describes a geometry-optimized Sc2TiF structure. The functional is PBE.

Cell: 6.5549 6.5549 7.3050 Å, 90.00 90.00 90.00°
Space group I-42d (No. 122)
Inequivalent atoms, fractional coordinates:
Sc (0.1430, 0.2500, 0.1250) (multiplicity 8)
Ti (0.0000, 0.0000, 0.5000) (multiplicity 4)
F (0.0000, 0.0000, 0.0000) (multiplicity 4)

Summary:
- energy above the lowest structure with this stoichiometry (eV per atom) = 0.2525
- magnetization (μB/cell) = 3.5
- density of states at the Fermi level (states/eV per cell) = 19.16

Entry 9:
This record from the Alexandria database describes a geometry-optimized Cs2BaHg2I6 structure. The functional is PBE.

Cell: 14.2758 8.9852 10.0248 Å, 90.00 114.81 90.00°
Space group C2/m (No. 12)
Inequivalent atoms, fractional coordinates:
Cs (0.2010, 0.0000, 0.1768) (multiplicity 4)
Ba (0.0000, 0.0000, 0.5000) (multiplicity 2)
Hg (0.0301, 0.5000, 0.3890) (multiplicity 4)
I (0.0539, 0.2325, 0.8070) (multiplicity 8)
I (0.2394, 0.5000, 0.3987) (multiplicity 4)

Summary:
- electronic total energy (eV/cell) = -51.47
- magnetization (μB/cell) = 0.0

Entry 10:
This record from the Alexandria database describes a geometry-optimized AlCuAs2Ru structure. The functional is PBE.

Cell: 4.5810 4.5810 4.4464 Å, 90.00 90.00 90.00°
Space group P4/mmm (No. 123)
Inequivalent atoms, fractional coordinates:
Al (0.0000, 0.0000, 0.0000) (multiplicity 1)
Cu (0.0000, 0.0000, 0.5000) (multiplicity 1)
As (0.0000, 0.5000, 0.5000) (multiplicity 2)
Ru (0.5000, 0.5000, 0.0000) (multiplicity 1)

Summary:
- magnetization (μB/cell) = 0.0
- calculated formation energy (eV/atom) = 0.92
- density of states at the Fermi level (states/eV per cell) = 3.42

Entry 11:
This record from the Alexandria database describes a geometry-optimized TbHo2ErBi5 structure. The functional is PBE.

Cell: 5.3691 5.3691 11.8854 Å, 90.00 90.00 90.00°
Space group P4/mmm (No. 123)
Inequivalent atoms, fractional coordinates:
Tb (0.0000, 0.0000, 0.0000) (multiplicity 1)
Ho (0.5000, 0.5000, 0.2658) (multiplicity 2)
Er (0.0000, 0.0000, 0.5000) (multiplicity 1)
Bi (0.0000, 0.0000, 0.2469) (multiplicity 2)
Bi (0.0000, 0.5000, 0.5000) (multiplicity 2)
Bi (0.5000, 0.5000, 0.0000) (multiplicity 1)

Summary:
- magnetization (μB/cell) = 0.0
- calculated formation energy (eV/atom) = 0.03
- density of states at the Fermi level (states/eV per cell) = 5.88

Entry 12:
This record from the Alexandria database describes a geometry-optimized Tl2OsPd structure. The functional is PBE.

Cell: 6.6935 6.6935 6.6935 Å, 90.00 90.00 90.00°
Space group Fm-3m (No. 225)
Inequivalent atoms, fractional coordinates:
Tl (0.2500, 0.2500, 0.2500) (multiplicity 8)
Os (0.0000, 0.0000, 0.0000) (multiplicity 4)
Pd (0.0000, 0.0000, 0.5000) (multiplicity 4)

Summary:
- energy above the lowest structure with this stoichiometry (eV per atom) = 0.0000
- magnetization (μB/cell) = 0.0
- calculated formation energy (eV/atom) = 0.61
- density of states at the Fermi level (states/eV per cell) = 12.92

Entry 13:
This record from the Alexandria database describes a geometry-optimized BeTc2As structure. The functional is PBE.

Cell: 3.6370 3.6370 8.0788 Å, 90.00 90.00 90.00°
Space group I-4m2 (No. 119)
Inequivalent atoms, fractional coordinates:
Be (0.0000, 0.0000, 0.0000) (multiplicity 2)
Tc (0.0000, 0.0000, 0.5000) (multiplicity 2)
Tc (0.0000, 0.5000, 0.7500) (multiplicity 2)
As (0.0000, 0.5000, 0.2500) (multiplicity 2)

Summary:
- energy above the lowest structure with this stoichiometry (eV per atom) = 0.3130
- magnetization (μB/cell) = 0.0
- calculated formation energy (eV/atom) = 0.15
- density of states at the Fermi level (states/eV per cell) = 7.85